Entry 1:
# AcLaBiSb | the Alexandria database | PBE-GGA | relaxed
data_AcLaBiSb
_space_group_name_H-M_alt 'F -4 3 m'
_space_group_IT_number 216
_space_group_name_Hall 'F -4 2 3'
_cell_length_a 8.151
_cell_length_b 8.151
_cell_length_c 8.151
_cell_angle_alpha 90.00
_cell_angle_beta 90.00
_cell_angle_gamma 90.00
loop_
_atom_site_label
_atom_site_type_symbol
_atom_site_fract_x
_atom_site_fract_y
_atom_site_fract_z
Ac1 Ac 0.000 0.000 0.000
La1 La 0.000 0.000 0.500
Bi1 Bi 0.250 0.250 0.750
Sb1 Sb 0.250 0.250 0.250
# offset from the most stable computed form: 0.0000 eV per atom

---

Entry 2:
# La8Ho3 | the Alexandria database | PBE-GGA | relaxed
data_La8Ho3
_space_group_name_H-M_alt 'R -3'
_space_group_IT_number 148
_space_group_name_Hall '-R 3'
_cell_length_a 9.8615
_cell_length_b 9.8615
_cell_length_c 14.3284
_cell_angle_alpha 90.00
_cell_angle_beta 90.00
_cell_angle_gamma 120.00
loop_
_atom_site_label
_atom_site_type_symbol
_atom_site_fract_x
_atom_site_fract_y
_atom_site_fract_z
La1 La 0.0000 0.0000 0.1043
La2 La 0.0311 0.2265 0.6164
Ho1 Ho 0.0000 0.5000 0.5000
# formation energy from the elements: 0.395 eV/atom
# offset from the most stable computed form: 0.3708 eV per atom

---

Entry 3:
# TaRe2Hg | the Alexandria database | PBE-GGA | relaxed
data_TaRe2Hg
_space_group_name_H-M_alt 'P 4/m m m'
_space_group_IT_number 123
_space_group_name_Hall '-P 4 2'
_cell_length_a 2.805
_cell_length_b 2.805
_cell_length_c 8.745
_cell_angle_alpha 90.00
_cell_angle_beta 90.00
_cell_angle_gamma 90.00
loop_
_atom_site_label
_atom_site_type_symbol
_atom_site_fract_x
_atom_site_fract_y
_atom_site_fract_z
Ta1 Ta 0.000 0.000 0.000
Re1 Re 0.500 0.500 0.240
Hg1 Hg 0.000 0.000 0.500
# formation energy from the elements: 0.593 eV/atom

---

Entry 4:
# HI2Cl5 | the Alexandria database | PBE-GGA | relaxed
data_HI2Cl5
_space_group_name_H-M_alt 'C 1 m 1'
_space_group_IT_number 8
_cell_length_a 14.554
_cell_length_b 7.512
_cell_length_c 7.512
_cell_angle_alpha 90.00
_cell_angle_beta 120.80
_cell_angle_gamma 90.00
loop_
_space_group_symop_operation_xyz
'x,y,z'
'x,-y,z'
'x+1/2,y+1/2,z'
'x+1/2,-y+1/2,z'
loop_
_atom_site_label
_atom_site_type_symbol
_atom_site_fract_x
_atom_site_fract_y
_atom_site_fract_z
H1 H 0.000 0.000 0.000
I1 I 0.376 0.000 0.877
I2 I 0.376 0.500 0.377
Cl1 Cl 0.103 0.000 0.101
Cl2 Cl 0.354 0.251 0.606
Cl3 Cl 0.355 0.251 0.105
# calculated total energy: -2.13 eV per atom

---

Entry 5:
# MgNbHg2Ir | the Alexandria database | PBE-GGA | relaxed
data_MgNbHg2Ir
_space_group_name_H-M_alt 'P 4/m m m'
_space_group_IT_number 123
_space_group_name_Hall '-P 4 2'
_cell_length_a 5.240
_cell_length_b 5.240
_cell_length_c 4.848
_cell_angle_alpha 90.00
_cell_angle_beta 90.00
_cell_angle_gamma 90.00
loop_
_atom_site_label
_atom_site_type_symbol
_atom_site_fract_x
_atom_site_fract_y
_atom_site_fract_z
Mg1 Mg 0.000 0.000 0.000
Nb1 Nb 0.500 0.500 0.000
Hg1 Hg 0.000 0.500 0.500
Ir1 Ir 0.500 0.500 0.500
# formation energy from the elements: 0.636 eV/atom

---

Entry 6:
# As2HPbBr | the Alexandria database | PBE-GGA | relaxed
data_As2HPbBr
_space_group_name_H-M_alt 'P 4/m m m'
_space_group_IT_number 123
_space_group_name_Hall '-P 4 2'
_cell_length_a 4.199
_cell_length_b 4.199
_cell_length_c 6.116
_cell_angle_alpha 90.00
_cell_angle_beta 90.00
_cell_angle_gamma 90.00
loop_
_atom_site_label
_atom_site_type_symbol
_atom_site_fract_x
_atom_site_fract_y
_atom_site_fract_z
As1 As 0.000 0.500 0.000
H1 H 0.000 0.000 0.000
Pb1 Pb 0.500 0.500 0.500
Br1 Br 0.000 0.000 0.500
# offset from the most stable computed form: 0.0000 eV per atom

---

Entry 7:
# Cs2ThSbSe5 | the Alexandria database | PBE-GGA | relaxed
data_Cs2ThSbSe5
_space_group_name_H-M_alt 'C m c 21'
_space_group_IT_number 36
_cell_length_a 4.647
_cell_length_b 20.913
_cell_length_c 15.194
_cell_angle_alpha 90.00
_cell_angle_beta 90.00
_cell_angle_gamma 90.00
loop_
_space_group_symop_operation_xyz
'x,y,z'
'-x,-y,z+1/2'
'-x,y,z'
'x,-y,z+1/2'
'x+1/2,y+1/2,z'
'-x+1/2,-y+1/2,z+1/2'
'-x+1/2,y+1/2,z'
'x+1/2,-y+1/2,z+1/2'
loop_
_atom_site_label
_atom_site_type_symbol
_atom_site_fract_x
_atom_site_fract_y
_atom_site_fract_z
Cs1 Cs 0.000 0.128 0.000
Cs2 Cs 0.000 0.129 0.653
Th1 Th 0.000 0.200 0.354
Sb1 Sb 0.000 0.441 0.747
Se1 Se 0.000 0.048 0.335
Se2 Se 0.000 0.311 0.968
Se3 Se 0.000 0.318 0.717
Se4 Se 0.000 0.327 0.326
Se5 Se 0.000 0.494 0.602
# calculated total energy: -4.48 eV per atom

---

Entry 8:
# La6GeS4 | the Alexandria database | PBE-GGA | relaxed
data_La6GeS4
_space_group_name_H-M_alt 'C m c m'
_space_group_IT_number 63
_space_group_name_Hall '-C 2c 2'
_cell_length_a 4.208
_cell_length_b 13.648
_cell_length_c 21.110
_cell_angle_alpha 90.00
_cell_angle_beta 90.00
_cell_angle_gamma 90.00
loop_
_atom_site_label
_atom_site_type_symbol
_atom_site_fract_x
_atom_site_fract_y
_atom_site_fract_z
La1 La 0.000 0.000 0.000
La2 La 0.000 0.175 0.250
La3 La 0.000 0.272 0.584
La4 La 0.000 0.452 0.163
Ge1 Ge 0.000 0.161 0.750
S1 S 0.000 0.092 0.125
S2 S 0.000 0.363 0.041
# calculated total energy: -6.33 eV per atom

---

Entry 9:
# Dy12Tm6In | the Alexandria database | PBE-GGA | relaxed
data_Dy12Tm6In
_space_group_name_H-M_alt 'R -3'
_space_group_IT_number 148
_space_group_name_Hall '-R 3'
_cell_length_a 11.7599
_cell_length_b 11.7599
_cell_length_c 14.8612
_cell_angle_alpha 90.00
_cell_angle_beta 90.00
_cell_angle_gamma 120.00
loop_
_atom_site_label
_atom_site_type_symbol
_atom_site_fract_x
_atom_site_fract_y
_atom_site_fract_z
Dy1 Dy 0.0052 0.1780 0.3145
Dy2 Dy 0.0458 0.8488 0.9152
Tm1 Tm 0.0211 0.4301 0.1888
In1 In 0.0000 0.0000 0.5000
# formation energy from the elements: 0.075 eV/atom

---

Entry 10:
# Hg2PdC2 | the Alexandria database | PBE-GGA | relaxed
data_Hg2PdC2
_space_group_name_H-M_alt 'P 4/m b m'
_space_group_IT_number 127
_space_group_name_Hall '-P 4 2ab'
_cell_length_a 7.170
_cell_length_b 7.170
_cell_length_c 3.003
_cell_angle_alpha 90.00
_cell_angle_beta 90.00
_cell_angle_gamma 90.00
loop_
_atom_site_label
_atom_site_type_symbol
_atom_site_fract_x
_atom_site_fract_y
_atom_site_fract_z
Hg1 Hg 0.150 0.350 0.000
Pd1 Pd 0.000 0.000 0.000
C1 C 0.156 0.656 0.500
# formation energy from the elements: 2.090 eV/atom
# offset from the most stable computed form: 1.2100 eV per atom

---

Entry 11:
# Rb5SbS4Cl2 | the Alexandria database | PBE-GGA | relaxed
data_Rb5SbS4Cl2
_space_group_name_H-M_alt 'A m m 2'
_space_group_IT_number 38
_cell_length_a 9.910
_cell_length_b 11.673
_cell_length_c 7.985
_cell_angle_alpha 90.00
_cell_angle_beta 90.00
_cell_angle_gamma 90.00
loop_
_space_group_symop_operation_xyz
'x,y,z'
'-x,-y,z'
'-x,y,z'
'x,-y,z'
'x,y+1/2,z+1/2'
'-x,-y+1/2,z+1/2'
'-x,y+1/2,z+1/2'
'x,-y+1/2,z+1/2'
loop_
_atom_site_label
_atom_site_type_symbol
_atom_site_fract_x
_atom_site_fract_y
_atom_site_fract_z
Rb1 Rb 0.000 0.000 0.000
Rb2 Rb 0.259 0.196 0.496
Sb1 Sb 0.500 0.000 0.984
S1 S 0.305 0.000 0.156
S2 S 0.500 0.161 0.805
Cl1 Cl 0.000 0.223 0.751
# calculated total energy: -3.64 eV per atom

---

Entry 12:
# CuRe3Ge | the Alexandria database | PBE-GGA | relaxed
data_CuRe3Ge
_space_group_name_H-M_alt 'P m -3 m'
_space_group_IT_number 221
_space_group_name_Hall '-P 4 2 3'
_cell_length_a 4.470
_cell_length_b 4.470
_cell_length_c 4.470
_cell_angle_alpha 90.00
_cell_angle_beta 90.00
_cell_angle_gamma 90.00
loop_
_atom_site_label
_atom_site_type_symbol
_atom_site_fract_x
_atom_site_fract_y
_atom_site_fract_z
Cu1 Cu 0.000 0.000 0.000
Re1 Re 0.000 0.000 0.500
Ge1 Ge 0.500 0.500 0.500
# formation energy from the elements: 2.092 eV/atom
# offset from the most stable computed form: 0.0751 eV per atom

---

Entry 13:
# ScTaNF2 | the Alexandria database | PBE-GGA | relaxed
data_ScTaNF2
_space_group_name_H-M_alt 'P 4/m m m'
_space_group_IT_number 123
_space_group_name_Hall '-P 4 2'
_cell_length_a 3.824
_cell_length_b 3.824
_cell_length_c 4.841
_cell_angle_alpha 90.00
_cell_angle_beta 90.00
_cell_angle_gamma 90.00
loop_
_atom_site_label
_atom_site_type_symbol
_atom_site_fract_x
_atom_site_fract_y
_atom_site_fract_z
Sc1 Sc 0.000 0.000 0.000
Ta1 Ta 0.500 0.500 0.500
N1 N 0.000 0.000 0.500
F1 F 0.000 0.500 0.000
# offset from the most stable computed form: 0.1412 eV per atom

---

Entry 14:
# SmGdC | the Alexandria database | PBE-GGA | relaxed
data_SmGdC
_space_group_name_H-M_alt 'P 3 m 1'
_space_group_IT_number 156
_cell_length_a 3.6277
_cell_length_b 3.6277
_cell_length_c 6.4400
_cell_angle_alpha 90.00
_cell_angle_beta 90.00
_cell_angle_gamma 120.00
loop_
_space_group_symop_operation_xyz
'x,y,z'
'-y,x-y,z'
'-x+y,-x,z'
'-y,-x,z'
'-x+y,y,z'
'x,x-y,z'
loop_
_atom_site_label
_atom_site_type_symbol
_atom_site_fract_x
_atom_site_fract_y
_atom_site_fract_z
Sm1 Sm 0.0000 0.0000 0.0000
Gd1 Gd 0.3333 0.6667 0.4287
C1 C 0.6667 0.3333 0.2190
# formation energy from the elements: -0.185 eV/atom

---

Entry 15:
# Zn2CdRe | the Alexandria database | PBE-GGA | relaxed
data_Zn2CdRe
_space_group_name_H-M_alt 'C m m 2'
_space_group_IT_number 35
_cell_length_a 3.069
_cell_length_b 4.621
_cell_length_c 9.141
_cell_angle_alpha 90.00
_cell_angle_beta 90.00
_cell_angle_gamma 90.00
loop_
_space_group_symop_operation_xyz
'x,y,z'
'-x,-y,z'
'-x,y,z'
'x,-y,z'
'x+1/2,y+1/2,z'
'-x+1/2,-y+1/2,z'
'-x+1/2,y+1/2,z'
'x+1/2,-y+1/2,z'
loop_
_atom_site_label
_atom_site_type_symbol
_atom_site_fract_x
_atom_site_fract_y
_atom_site_fract_z
Zn1 Zn 0.000 0.000 0.000
Zn2 Zn 0.000 0.500 0.231
Cd1 Cd 0.000 0.500 0.735
Re1 Re 0.000 0.000 0.465
# formation energy from the elements: 0.338 eV/atom

---

Entry 16:
# Nd2NbVN5 | the Alexandria database | PBE-GGA | relaxed
data_Nd2NbVN5
_space_group_name_H-M_alt 'C m c 21'
_space_group_IT_number 36
_cell_length_a 3.333
_cell_length_b 14.020
_cell_length_c 10.342
_cell_angle_alpha 90.00
_cell_angle_beta 90.00
_cell_angle_gamma 90.00
loop_
_space_group_symop_operation_xyz
'x,y,z'
'-x,-y,z+1/2'
'-x,y,z'
'x,-y,z+1/2'
'x+1/2,y+1/2,z'
'-x+1/2,-y+1/2,z+1/2'
'-x+1/2,y+1/2,z'
'x+1/2,-y+1/2,z+1/2'
loop_
_atom_site_label
_atom_site_type_symbol
_atom_site_fract_x
_atom_site_fract_y
_atom_site_fract_z
Nd1 Nd 0.000 0.113 0.000
Nd2 Nd 0.000 0.138 0.632
Nb1 Nb 0.000 0.212 0.342
V1 V 0.000 0.452 0.759
N1 N 0.000 0.040 0.343
N2 N 0.000 0.292 0.975
N3 N 0.000 0.324 0.702
N4 N 0.000 0.349 0.324
N5 N 0.000 0.495 0.105
# calculated total energy: -8.98 eV per atom

---

Entry 17:
# LiMgF3 | the Alexandria database | PBE-GGA | relaxed
data_LiMgF3
_space_group_name_H-M_alt 'P -6 c 2'
_space_group_IT_number 188
_space_group_name_Hall 'P -6c 2'
_cell_length_a 5.2381
_cell_length_b 5.2381
_cell_length_c 5.3318
_cell_angle_alpha 90.00
_cell_angle_beta 90.00
_cell_angle_gamma 120.00
loop_
_atom_site_label
_atom_site_type_symbol
_atom_site_fract_x
_atom_site_fract_y
_atom_site_fract_z
Li1 Li 0.0000 0.0000 0.0000
Mg1 Mg 0.6667 0.3333 0.0000
F1 F 0.3436 0.0995 0.2500
# offset from the most stable computed form: 0.0000 eV per atom

---

Entry 18:
# TaMnCuGe2 | the Alexandria database | PBE-GGA | relaxed
data_TaMnCuGe2
_space_group_name_H-M_alt 'P 4/m m m'
_space_group_IT_number 123
_space_group_name_Hall '-P 4 2'
_cell_length_a 4.997
_cell_length_b 4.997
_cell_length_c 4.784
_cell_angle_alpha 90.00
_cell_angle_beta 90.00
_cell_angle_gamma 90.00
loop_
_atom_site_label
_atom_site_type_symbol
_atom_site_fract_x
_atom_site_fract_y
_atom_site_fract_z
Ta1 Ta 0.000 0.000 0.000
Mn1 Mn 0.000 0.000 0.500
Cu1 Cu 0.500 0.500 0.500
Ge1 Ge 0.000 0.500 0.000
# formation energy from the elements: 1.089 eV/atom

---

Entry 19:
# ZnCd12In2 | the Alexandria database | PBE-GGA | relaxed
data_ZnCd12In2
_space_group_name_H-M_alt 'P 4/n b m'
_space_group_IT_number 125
_cell_length_a 5.988
_cell_length_b 5.988
_cell_length_c 20.612
_cell_angle_alpha 90.00
_cell_angle_beta 90.00
_cell_angle_gamma 90.00
loop_
_space_group_symop_operation_xyz
'x,y,z'
'-x,-y,-z'
'-y+1/2,x,z'
'y+1/2,-x,-z'
'-x+1/2,-y+1/2,z'
'x+1/2,y+1/2,-z'
'y,-x+1/2,z'
'-y,x+1/2,-z'
'x,-y+1/2,-z'
'-x,y+1/2,z'
'-y+1/2,-x+1/2,-z'
'y+1/2,x+1/2,z'
'-x+1/2,y,-z'
'x+1/2,-y,z'
'y,x,-z'
'-y,-x,z'
loop_
_atom_site_label
_atom_site_type_symbol
_atom_site_fract_x
_atom_site_fract_y
_atom_site_fract_z
Zn1 Zn 0.250 0.750 0.000
Cd1 Cd 0.001 0.501 0.090
Cd2 Cd 0.074 0.574 0.566
Cd3 Cd 0.250 0.250 0.195
Cd4 Cd 0.250 0.250 0.333
In1 In 0.250 0.750 0.258
# formation energy from the elements: 0.068 eV/atom

---

Entry 20:
# La2DyY4 | the Alexandria database | PBE-GGA | relaxed
data_La2DyY4
_space_group_name_H-M_alt 'C m m m'
_space_group_IT_number 65
_space_group_name_Hall '-C 2 2'
_cell_length_a 3.475
_cell_length_b 26.514
_cell_length_c 5.655
_cell_angle_alpha 90.00
_cell_angle_beta 90.00
_cell_angle_gamma 90.00
loop_
_atom_site_label
_atom_site_type_symbol
_atom_site_fract_x
_atom_site_fract_y
_atom_site_fract_z
La1 La 0.000 0.196 0.000
Dy1 Dy 0.000 0.500 0.500
Y1 Y 0.000 0.115 0.500
Y2 Y 0.000 0.427 0.000
# formation energy from the elements: 0.324 eV/atom
# offset from the most stable computed form: 0.1534 eV per atom

---

Values for spin magnetization, μB/f.u., ordered as above
0.00 0.00 0.00 0.00 1.42 0.00 0.00 0.94 0.00 0.00 0.00 0.00 2.72 7.53 0.00 0.00 0.00 3.00 0.00 0.00